Below is a relaxed structure of Ac2BeMoO6, with properties calculated at the PBE with a Hubbard U level.

a = 5.453 Å, b = 5.622 Å, c = 5.632 Å
α = 118.62°, β = 115.08°, γ = 94.40°
Space group P1 (No. 1)
Symmetry-distinct sites (fractional):
Ac  0.000  0.000  0.000
Ac  0.486  0.489  0.969
Be  0.687  0.261  0.420
Mo  0.253  0.743  0.493
O  0.025  0.444  0.516
O  0.030  0.452  0.014
O  0.476  0.032  0.469
O  0.506  0.047  0.015
O  0.558  0.534  0.534
O  0.951  0.913  0.451

Computed properties:
The uncorrected energy comes out at -75.35 eV per cell. The value obtained for the mass density is 8.464 g cm⁻³.